SmEr2MoO8 | GGA+U | relaxed

Calculated values
SG: No. 65
Volume in Å³ per atom: 14.450
Density of states at the Fermi level in states/eV/f.u.: 5.60
Uncorrected energy in eV per atom: -7.726

abc: 5.026 5.026 6.864
angles: 90.00 90.00 90.48
Last column: magnetic moment on the atom in μB.
Atoms (fractional coordinates):
Sm (0.000, 0.000, 0.500)  0.01
Er (0.500, 0.500, 0.756)  -0.01
Er (0.500, 0.500, 0.244)  -0.01
Mo (0.000, 0.000, 0.000)  -0.07
O (0.185, 0.814, 0.208)  0.06
O (0.722, 0.723, 0.000)  0.12
O (0.815, 0.186, 0.208)  0.06
O (0.815, 0.186, 0.792)  0.06
O (0.278, 0.277, 0.000)  0.12
O (0.185, 0.814, 0.792)  0.06
O (0.684, 0.685, 0.500)  0.17
O (0.316, 0.315, 0.500)  0.17